A plane-wave DFT calculation with PBE-GGA was carried out for a relaxed Ho2ThPaSb4 crystal.

Properties
Formation energy without anion corrections in eV per atom: -0.882
Raw total energy in eV per cell: -49.621
DOS(E_F) in states/eV/cell: 8.16
SG: P2/m (10)

abc: 4.4060 7.6393 7.6144
angles: 109.49 90.00 90.00
Fractional positions:
Th  0.5000  0.5000  0.0000
Ho  0.5000  0.0000  0.5000
Sb  0.0000  0.2427  0.7421
Pa  0.0000  0.0000  0.0000
Sb  0.5000  0.7525  0.7446
Sb  0.5000  0.2475  0.2554
Ho  0.0000  0.5000  0.5000
Sb  0.0000  0.7573  0.2579

A plane-wave DFT calculation with PBE-GGA was carried out for a relaxed HoTm2PaSb4 crystal.

Properties
Formation energy without anion corrections in eV per atom: -0.917
Raw total energy in eV per cell: -46.844
DOS(E_F) in states/eV/cell: 6.47
SG: P2/m (10)

abc: 4.3482 7.5397 7.5308
angles: 109.36 90.00 90.00
Fractional positions:
Tm  0.5000  0.0000  0.5000
Sb  0.5000  0.2524  0.2539
Sb  0.5000  0.7476  0.7461
Pa  0.0000  0.0000  0.0000
Ho  0.5000  0.5000  0.0000
Sb  0.0000  0.7509  0.2523
Tm  0.0000  0.5000  0.5000
Sb  0.0000  0.2491  0.7477

A plane-wave DFT calculation with PBE-GGA was carried out for a relaxed HoSc2Pa crystal.

Properties
Raw total energy in eV per cell: -26.089
DOS(E_F) in states/eV/cell: 3.70
Energy above the most stable polymorph in this dataset in meV per atom: 92
Energy of formation from the pure elements in kJ/mol of formula units: 62
SG: P4/mmm (123)

abc: 4.6723 4.6987 4.6987
angles: 90.00 90.00 90.00
Fractional positions:
Pa  0.5000  0.0000  0.0000
Sc  0.0000  0.0000  0.5000
Ho  0.5000  0.5000  0.5000
Sc  0.0000  0.5000  0.0000

A plane-wave DFT calculation with PBE-GGA was carried out for a relaxed HoSc2Pa crystal.

Properties
Raw total energy in eV per cell: -26.458
DOS(E_F) in states/eV/cell: 7.45
Energy above the most stable polymorph in this dataset in meV per atom: 0
Energy of formation from the pure elements in kJ/mol of formula units: 27
SG: R3m (160)

abc: 3.2856 3.2856 11.1482
angles: 81.53 81.53 60.00
Fractional positions:
Sc  0.0859  0.0859  0.7422
Ho  0.6662  0.6662  0.0013
Pa  0.5003  0.5003  0.4992
Sc  0.2476  0.2476  0.2573

A plane-wave DFT calculation with PBE-GGA was carried out for a relaxed Ho2ScPa crystal.

Properties
Raw total energy in eV per cell: -24.440
DOS(E_F) in states/eV/cell: 6.86
Energy above the most stable polymorph in this dataset in meV per atom: 24
Energy of formation from the pure elements in kJ/mol of formula units: 52
SG: P4/mmm (123)

abc: 3.3313 3.3313 9.9563
angles: 90.00 90.00 90.00
Fractional positions:
Ho  0.0000  0.0000  0.7454
Sc  0.5000  0.5000  0.0000
Pa  0.5000  0.5000  0.5000
Ho  0.0000  0.0000  0.2546

A plane-wave DFT calculation with PBE-GGA was carried out for a relaxed Ho2Sc4Pa crystal.

Properties
Raw total energy in eV per cell: -43.605
DOS(E_F) in states/eV/cell: 12.44
Energy of formation from the pure elements in kJ/mol of formula units: 36
SG: Cm (8)

abc: 3.3406 3.3374 18.9924
angles: 95.06 90.00 120.03
Fractional positions:
Sc  0.5212  0.0425  0.8098
Ho  0.7177  0.4355  0.3821
Ho  0.6211  0.2422  0.0919
Sc  0.4316  0.8631  0.5304
Pa  0.8062  0.6124  0.6699
Sc  0.9004  0.8009  0.9463
Sc  0.0032  0.0063  0.2377